# 1
## RbNd2Cu2S4 (PBE)

Data for RbNd2Cu2S4 after structural relaxation.

The structure in CIF format:
```
data_RbNd2Cu2S4
_chemical_formula_sum 'Rb2 Nd4 Cu4 S8'
_symmetry_space_group_name_H-M 'C 1 2/m 1'
_symmetry_Int_Tables_number 12
_cell_length_a 15.381
_cell_length_b 3.763
_cell_length_c 8.916
_cell_angle_alpha 90.00
_cell_angle_beta 116.68
_cell_angle_gamma 90.00
loop_
_symmetry_equiv_pos_as_xyz
'x,y,z'
'-x,-y,-z'
'-x,y,-z'
'x,-y,z'
'x+1/2,y+1/2,z'
'-x+1/2,-y+1/2,-z'
'-x+1/2,y+1/2,-z'
'x+1/2,-y+1/2,z'
loop_
_atom_site_label
_atom_site_fract_x
_atom_site_fract_y
_atom_site_fract_z
Rb1 0.000 0.000 0.000
Nd1 0.117 0.000 0.609
Cu1 0.180 0.500 0.390
S1 0.013 0.500 0.325
S2 0.229 0.000 0.288
```

## Properties
Its total energy is -91.40 eV per cell. As for the crystal system: monoclinic. The theoretical density comes out at 4.53 g/cm³.

=====

# 2
## RbNdCuSe2 (PBE)

Data for RbNdCuSe2 after structural relaxation.

The structure in CIF format:
```
data_RbNdCuSe2
_chemical_formula_sum 'Rb2 Nd2 Cu2 Se4'
_symmetry_space_group_name_H-M 'P 1 2/c 1'
_symmetry_Int_Tables_number 13
_cell_length_a 8.167
_cell_length_b 4.727
_cell_length_c 8.443
_cell_angle_alpha 90.00
_cell_angle_beta 99.43
_cell_angle_gamma 90.00
loop_
_symmetry_equiv_pos_as_xyz
'x,y,z'
'-x,-y,-z'
'-x,y,-z+1/2'
'x,-y,z+1/2'
loop_
_atom_site_label
_atom_site_fract_x
_atom_site_fract_y
_atom_site_fract_z
Rb1 0.000 0.178 0.250
Nd1 0.500 0.492 0.750
Cu1 0.500 0.000 0.000
Se1 0.271 0.307 0.966
```

## Properties
Its total energy is -43.75 eV per cell. As for the crystal system: monoclinic. The theoretical density comes out at 4.66 g/cm³.

=====

# 3
## Rb2NdCu2Te4 (PBE)

Data for Rb2NdCu2Te4 after structural relaxation.

The structure in CIF format:
```
data_Rb2NdCu2Te4
_chemical_formula_sum 'Rb4 Nd2 Cu4 Te8'
_symmetry_space_group_name_H-M 'C 1 2/m 1'
_symmetry_Int_Tables_number 12
_cell_length_a 16.266
_cell_length_b 4.360
_cell_length_c 8.864
_cell_angle_alpha 90.00
_cell_angle_beta 108.61
_cell_angle_gamma 90.00
loop_
_symmetry_equiv_pos_as_xyz
'x,y,z'
'-x,-y,-z'
'-x,y,-z'
'x,-y,z'
'x+1/2,y+1/2,z'
'-x+1/2,-y+1/2,-z'
'-x+1/2,y+1/2,-z'
'x+1/2,-y+1/2,z'
loop_
_atom_site_label
_atom_site_fract_x
_atom_site_fract_y
_atom_site_fract_z
Rb1 0.133 0.000 0.051
Nd1 0.000 0.000 0.500
Cu1 0.178 0.500 0.487
Te1 0.025 0.500 0.262
Te2 0.205 0.000 0.671
```

## Properties
Its total energy is -69.94 eV per cell. As for the crystal system: monoclinic. The theoretical density comes out at 5.31 g/cm³.

=====

# 4
## RbNd2CuTe4 (PBE)

Data for RbNd2CuTe4 after structural relaxation.

The structure in CIF format:
```
data_RbNd2CuTe4
_chemical_formula_sum 'Rb4 Nd8 Cu4 Te16'
_symmetry_space_group_name_H-M 'C m c m'
_symmetry_Int_Tables_number 63
_symmetry_space_group_name_Hall '-C 2c 2'
_cell_length_a 4.500
_cell_length_b 15.655
_cell_length_c 15.729
_cell_angle_alpha 90.00
_cell_angle_beta 90.00
_cell_angle_gamma 90.00
loop_
_atom_site_label
_atom_site_fract_x
_atom_site_fract_y
_atom_site_fract_z
Rb1 0.000 0.109 0.250
Nd1 0.000 0.365 0.063
Cu1 0.000 0.160 0.750
Te1 0.000 0.000 0.000
Te2 0.000 0.265 0.616
Te3 0.000 0.431 0.250
```

## Properties
Its total energy is -146.12 eV per cell. As for the crystal system: orthorhombic. The theoretical density comes out at 5.68 g/cm³.

=====

# 5
## Nd12Cu6Rh (PBE)

Data for Nd12Cu6Rh after structural relaxation.

The structure in CIF format:
```
data_Nd12Cu6Rh
_chemical_formula_sum 'Nd36 Cu18 Rh3'
_symmetry_space_group_name_H-M 'R -3'
_symmetry_Int_Tables_number 148
_symmetry_space_group_name_Hall '-R 3'
_cell_length_a 12.6345
_cell_length_b 12.6345
_cell_length_c 12.3373
_cell_angle_alpha 90.00
_cell_angle_beta 90.00
_cell_angle_gamma 120.00
loop_
_atom_site_label
_atom_site_fract_x
_atom_site_fract_y
_atom_site_fract_z
Nd1 0.0255 0.8251 0.3902
Nd2 0.0361 0.8377 0.8759
Cu1 0.0452 0.7734 0.6452
Rh1 0.0000 0.0000 0.0000
```

## Properties
Its total energy is -267.52 eV per cell. The value obtained for the energy of formation is 0.0 eV/f.u. As for the crystal system: trigonal. The theoretical density comes out at 6.47 g/cm³.

=====

# 6
## Nd3Cu8Rh (PBE)

Data for Nd3Cu8Rh after structural relaxation.

The structure in CIF format:
```
data_Nd3Cu8Rh
_chemical_formula_sum 'Nd9 Cu24 Rh3'
_symmetry_space_group_name_H-M 'R 3 m'
_symmetry_Int_Tables_number 160
_symmetry_space_group_name_Hall 'R 3 -2"'
_cell_length_a 5.1714
_cell_length_b 5.1714
_cell_length_c 26.0823
_cell_angle_alpha 90.00
_cell_angle_beta 90.00
_cell_angle_gamma 120.00
loop_
_atom_site_label
_atom_site_fract_x
_atom_site_fract_y
_atom_site_fract_z
Nd1 0.0000 0.0000 0.0000
Nd2 0.0000 0.0000 0.1292
Nd3 0.0000 0.0000 0.6060
Cu1 0.0000 0.0000 0.3074
Cu2 0.0000 0.0000 0.8081
Cu3 0.0027 0.5014 0.0609
Cu4 0.0081 0.5041 0.5553
Rh1 0.0000 0.0000 0.4874
```

## Properties
Its total energy is -168.12 eV per cell. The value obtained for the energy of formation is -1.6 eV/f.u. As for the crystal system: trigonal. The theoretical density comes out at 8.61 g/cm³.

=====

# 7
## Nd8Cu2Rh (PBE)

Data for Nd8Cu2Rh after structural relaxation.

The structure in CIF format:
```
data_Nd8Cu2Rh
_chemical_formula_sum 'Nd16 Cu4 Rh2'
_symmetry_space_group_name_H-M 'C 1 m 1'
_symmetry_Int_Tables_number 8
_cell_length_a 9.179
_cell_length_b 12.715
_cell_length_c 6.265
_cell_angle_alpha 90.00
_cell_angle_beta 114.42
_cell_angle_gamma 90.00
loop_
_symmetry_equiv_pos_as_xyz
'x,y,z'
'x,-y,z'
'x+1/2,y+1/2,z'
'x+1/2,-y+1/2,z'
loop_
_atom_site_label
_atom_site_fract_x
_atom_site_fract_y
_atom_site_fract_z
Nd1 0.000 0.000 0.000
Nd2 0.101 0.364 0.857
Nd3 0.126 0.145 0.537
Nd4 0.236 0.500 0.434
Nd5 0.365 0.148 0.181
Cu1 0.376 0.306 0.737
Rh1 0.354 0.000 0.499
```

## Properties
Its total energy is -108.95 eV per cell. The value obtained for the energy of formation is -0.8 eV/f.u. The value obtained for the energy above the most stable polymorph in this dataset is 0.090 eV/atom. As for the crystal system: monoclinic. The theoretical density comes out at 6.90 g/cm³.

=====

# 8
## Nd8Cu2Rh (PBE)

Data for Nd8Cu2Rh after structural relaxation.

The structure in CIF format:
```
data_Nd8Cu2Rh
_chemical_formula_sum 'Nd16 Cu4 Rh2'
_symmetry_space_group_name_H-M 'C 1 2/m 1'
_symmetry_Int_Tables_number 12
_cell_length_a 17.880
_cell_length_b 5.182
_cell_length_c 6.902
_cell_angle_alpha 90.00
_cell_angle_beta 102.00
_cell_angle_gamma 90.00
loop_
_symmetry_equiv_pos_as_xyz
'x,y,z'
'-x,-y,-z'
'-x,y,-z'
'x,-y,z'
'x+1/2,y+1/2,z'
'-x+1/2,-y+1/2,-z'
'-x+1/2,y+1/2,-z'
'x+1/2,-y+1/2,z'
loop_
_atom_site_label
_atom_site_fract_x
_atom_site_fract_y
_atom_site_fract_z
Nd1 0.033 0.000 0.286
Nd2 0.088 0.500 0.942
Nd3 0.164 0.500 0.471
Nd4 0.200 0.000 0.836
Cu1 0.191 0.000 0.242
Rh1 0.000 0.500 0.500
```

## Properties
Its total energy is -110.93 eV per cell. The value obtained for the energy of formation is -1.8 eV/f.u. The value obtained for the energy above the most stable polymorph in this dataset is 0.000 eV/atom. As for the crystal system: monoclinic. The theoretical density comes out at 7.35 g/cm³.

=====

# 9
## Nd2CuRh (PBE)

Data for Nd2CuRh after structural relaxation.

The structure in CIF format:
```
data_Nd2CuRh
_chemical_formula_sum 'Nd4 Cu2 Rh2'
_symmetry_space_group_name_H-M 'P 1 21/m 1'
_symmetry_Int_Tables_number 11
_cell_length_a 5.737
_cell_length_b 4.465
_cell_length_c 7.840
_cell_angle_alpha 90.00
_cell_angle_beta 110.27
_cell_angle_gamma 90.00
loop_
_symmetry_equiv_pos_as_xyz
'x,y,z'
'-x,-y,-z'
'-x,y+1/2,-z'
'x,-y+1/2,z'
loop_
_atom_site_label
_atom_site_fract_x
_atom_site_fract_y
_atom_site_fract_z
Nd1 0.219 0.250 0.434
Nd2 0.227 0.250 0.928
Cu1 0.352 0.750 0.213
Rh1 0.344 0.750 0.714
```

## Properties
Its total energy is -45.86 eV per cell. The value obtained for the energy of formation is -1.9 eV/f.u. As for the crystal system: monoclinic. The theoretical density comes out at 8.02 g/cm³.